DFT (GGA-PBE) results for a geometry-optimized BeNbPb2O structure.

```
BeNbPb2O
1.0
5.2259 0.0000 0.0000
0.0000 5.2259 0.0000
0.0000 0.0000 4.1033
Be Nb Pb O
1 1 2 1
direct
0.0000 0.0000 0.0000
0.5000 0.5000 0.0000
0.0000 0.5000 0.5000
0.5000 0.0000 0.5000
0.5000 0.5000 0.5000
```

Output
The calculation puts the volume at 112.1 Å³ per cell. The uncorrected formation energy is 188 meV per atom. The symmetry is No. 123. The calculation puts the density of states at the Fermi level at 3.3 states/eV per cell.

***

DFT (GGA-PBE) results for a geometry-optimized Be2NbPtO structure.

```
Be2NbPtO
1.0
3.7848 0.0000 0.0000
0.0000 3.7848 0.0000
0.0000 0.0000 4.1279
Be Nb Pt O
2 1 1 1
direct
0.0000 0.5000 0.0000
0.5000 0.0000 0.0000
0.0000 0.0000 0.5000
0.5000 0.5000 0.5000
0.0000 0.0000 0.0000
```

Output
The calculation puts the volume at 59.1 Å³ per cell. The uncorrected formation energy is -712 meV per atom. The symmetry is No. 123. The calculation puts the density of states at the Fermi level at 2.0 states/eV per cell.

***

DFT (GGA-PBE) results for a geometry-optimized Rb2BeNbO4 structure.

```
Rb2BeNbO4
1.0
5.9650 0.0000 0.0000
0.0000 5.9650 0.0000
0.0000 0.0000 7.3667
Rb Be Nb O
4 2 2 8
direct
0.0000 0.0000 0.0000
0.0000 0.5000 0.2500
0.5000 0.0000 0.7500
0.5000 0.5000 0.5000
0.0000 0.5000 0.7500
0.5000 0.0000 0.2500
0.0000 0.0000 0.5000
0.5000 0.5000 0.0000
0.0732 0.2850 0.6141
0.2150 0.5732 0.8859
0.2850 0.9268 0.3859
0.4268 0.2150 0.1141
0.5732 0.7850 0.1141
0.7150 0.0732 0.3859
0.7850 0.4268 0.8859
0.9268 0.7150 0.6141
```

Output
The calculation puts the volume at 262.1 Å³ per cell. The uncorrected formation energy is -2062 meV per atom. The symmetry is No. 82. The calculation puts the density of states at the Fermi level at 2.6 states/eV per cell.

***

DFT (GGA-PBE) results for a geometry-optimized SrBeNbO5 structure.

```
SrBeNbO5
1.0
3.3748 -4.5124 0.0000
3.3748 4.5124 0.0000
-3.0790 0.0000 6.8657
Sr Be Nb O
2 2 2 10
direct
0.1673 0.8327 0.7500
0.8327 0.1673 0.2500
0.1891 0.8109 0.2500
0.8109 0.1891 0.7500
0.5000 0.5000 0.0000
0.5000 0.5000 0.5000
0.1174 0.2613 0.8936
0.2090 0.6224 0.3899
0.2613 0.1174 0.3936
0.3776 0.7910 0.1101
0.4344 0.5656 0.7500
0.5656 0.4344 0.2500
0.6224 0.2090 0.8899
0.7387 0.8826 0.6064
0.7910 0.3776 0.6101
0.8826 0.7387 0.1064
```

Output
The calculation puts the volume at 209.1 Å³ per cell. The uncorrected formation energy is -2448 meV per atom. The symmetry is No. 15. The calculation puts the density of states at the Fermi level at 9.0 states/eV per cell.

***

Please write out number 4 again, unchanged.
DFT (GGA-PBE) results for a geometry-optimized SrBeNbO5 structure.

```
SrBeNbO5
1.0
3.3748 -4.5124 0.0000
3.3748 4.5124 0.0000
-3.0790 0.0000 6.8657
Sr Be Nb O
2 2 2 10
direct
0.1673 0.8327 0.7500
0.8327 0.1673 0.2500
0.1891 0.8109 0.2500
0.8109 0.1891 0.7500
0.5000 0.5000 0.0000
0.5000 0.5000 0.5000
0.1174 0.2613 0.8936
0.2090 0.6224 0.3899
0.2613 0.1174 0.3936
0.3776 0.7910 0.1101
0.4344 0.5656 0.7500
0.5656 0.4344 0.2500
0.6224 0.2090 0.8899
0.7387 0.8826 0.6064
0.7910 0.3776 0.6101
0.8826 0.7387 0.1064
```

Output
The calculation puts the volume at 209.1 Å³ per cell. The uncorrected formation energy is -2448 meV per atom. The symmetry is No. 15. The calculation puts the density of states at the Fermi level at 9.0 states/eV per cell.